First-principles (PBE) data for a geometry-optimized ScZnAu2O structure, as listed in the Alexandria database. Values from VASP.

Results
As for the formation energy without anion corrections: -0.12 eV/atom. Its space group is P4/mmm, No. 123. The crystal system is tetragonal. The calculation puts the density of states at the Fermi level at 1.116 states/eV/atom.

The structure in Quantum ESPRESSO input format:
```
&SYSTEM
  ibrav = 0, nat = 5, ntyp = 4
/
ATOMIC_SPECIES
Sc 44.96 Sc.upf
Zn 65.41 Zn.upf
Au 196.97 Au.upf
O 16.00 O.upf
CELL_PARAMETERS angstrom
5.079 0.000 0.000
0.000 5.079 0.000
0.000 0.000 3.599
ATOMIC_POSITIONS crystal
Sc 0.000 0.000 0.000
Zn 0.500 0.500 0.000
Au 0.000 0.500 0.500
Au 0.500 0.000 0.500
O 0.500 0.500 0.500
```


First-principles (PBE) data for a geometry-optimized GePH6CCl3 structure, as listed in the Alexandria database. Values from VASP.

Results
The calculated total energy is -4.178 eV per atom. Its space group is P1, No. 1. The crystal system is triclinic. The calculation puts the density of states at the Fermi level at 0.000 states/eV/atom.

The structure in Quantum ESPRESSO input format:
```
&SYSTEM
  ibrav = 0, nat = 24, ntyp = 5
/
ATOMIC_SPECIES
Ge 72.64 Ge.upf
P 30.97 P.upf
H 1.01 H.upf
C 12.01 C.upf
Cl 35.45 Cl.upf
CELL_PARAMETERS angstrom
6.023 0.000 0.000
-0.022 7.818 0.000
-0.067 -0.352 8.957
ATOMIC_POSITIONS crystal
Ge 0.000 0.000 0.000
Ge 0.020 0.496 0.511
P 0.452 0.984 0.580
P 0.467 0.502 0.939
H 0.245 0.056 0.618
H 0.270 0.409 0.907
H 0.378 0.587 0.191
H 0.409 0.979 0.315
H 0.439 0.805 0.599
H 0.445 0.665 0.881
H 0.535 0.392 0.180
H 0.552 0.168 0.387
H 0.610 0.052 0.684
H 0.643 0.415 0.867
H 0.672 0.593 0.157
H 0.696 0.966 0.373
C 0.518 0.521 0.136
C 0.535 0.028 0.394
Cl 0.030 0.298 0.310
Cl 0.049 0.744 0.368
Cl 0.391 0.003 0.981
Cl 0.410 0.479 0.571
Cl 0.948 0.751 0.848
Cl 0.949 0.198 0.805
```


First-principles (PBE) data for a geometry-optimized YIrW2 structure, as listed in the Alexandria database. Values from VASP.

Results
Its energy of formation from the pure elements is 0.57 eV/f.u. Its space group is P4mm, No. 99. The crystal system is tetragonal. The calculation puts the density of states at the Fermi level at 0.907 states/eV/atom.

The structure in Quantum ESPRESSO input format:
```
&SYSTEM
  ibrav = 0, nat = 4, ntyp = 3
/
ATOMIC_SPECIES
Y 88.91 Y.upf
Ir 192.22 Ir.upf
W 183.84 W.upf
CELL_PARAMETERS angstrom
2.898 0.000 0.000
0.000 2.898 0.000
0.000 0.000 8.615
ATOMIC_POSITIONS crystal
Y 0.000 0.000 0.000
Ir 0.500 0.500 0.263
W 0.000 0.000 0.461
W 0.500 0.500 0.708
```